(1)
Below is a relaxed structure of ZrScIr2Rh, with properties calculated at the PBE level. Values from VASP.

```
&SYSTEM
  ibrav = 0, nat = 5, ntyp = 4
/
ATOMIC_SPECIES
Zr 91.22 Zr.upf
Sc 44.96 Sc.upf
Ir 192.22 Ir.upf
Rh 102.91 Rh.upf
ATOMIC_POSITIONS angstrom
Zr 0.0000 0.0000 0.0000
Sc 0.0000 0.0000 2.4207
Ir 0.0000 2.2887 2.4207
Ir 2.2887 0.0000 2.4207
Rh 2.2887 2.2887 0.0000
CELL_PARAMETERS angstrom
4.5774 0.0000 0.0000
0.0000 4.5774 0.0000
0.0000 0.0000 4.8415
```

Computed properties:
DFT total energy: -33.7 eV/cell
formation energy: 1.241 eV per atom

=====

(2)
Below is a relaxed structure of Te2Cl, with properties calculated at the PBE level. Values from VASP.

```
&SYSTEM
  ibrav = 0, nat = 6, ntyp = 2
/
ATOMIC_SPECIES
Te 127.60 Te.upf
Cl 35.45 Cl.upf
ATOMIC_POSITIONS angstrom
Te 0.7593 0.0000 1.7948
Te 0.8856 0.0000 4.7253
Te 8.7484 0.0000 1.7480
Te 8.8747 0.0000 4.6784
Cl 4.7536 0.0000 0.8859
Cl 4.8804 0.0000 5.5874
CELL_PARAMETERS angstrom
6.5366 -2.5522 0.0000
6.5366 2.5522 0.0000
-3.4392 0.0000 6.4733
```

Computed properties:
DFT total energy: -17.2 eV/cell
formation energy from raw total energies: -0.164 eV/atom
distance to the lowest polymorph of the same formula: 81 meV/atom

=====

(3)
Below is a relaxed structure of FeAu2I, with properties calculated at the PBE level. Values from VASP.

```
&SYSTEM
  ibrav = 0, nat = 4, ntyp = 3
/
ATOMIC_SPECIES
Fe 55.84 Fe.upf
Au 196.97 Au.upf
I 126.90 I.upf
ATOMIC_POSITIONS angstrom
Fe 0.0000 0.0000 0.0000
Au 1.7316 1.7316 1.7316
Au 5.1947 5.1947 5.1947
I 3.4631 3.4631 3.4631
CELL_PARAMETERS angstrom
0.0000 3.4631 3.4631
3.4631 0.0000 3.4631
3.4631 3.4631 0.0000
```

Computed properties:
DFT total energy: -13.5 eV/cell
formation energy from raw total energies: 0.770 eV/atom
distance to the lowest polymorph of the same formula: 228 meV/atom